! PrNdSeI, optimized geometry, DFT PBE; values from VASP
! SG: Cm, No. 8
! Uncorrected formation energy in eV/atom: -1.351
! Theoretical density in g cm⁻³: 6.731
! Energy relative to the lowest polymorph listed for this composition in meV per atom: 0
&SYSTEM
  ibrav = 0, nat = 4, ntyp = 4
/
ATOMIC_SPECIES
Pr 140.91 Pr.upf
Nd 144.24 Nd.upf
Se 78.96 Se.upf
I 126.90 I.upf
CELL_PARAMETERS angstrom
3.580 -2.068 0.000
3.580 2.068 0.000
-2.376 0.000 8.180
ATOMIC_POSITIONS crystal
Pr 0.000 0.000 0.000
Nd 0.195 0.195 0.585
Se 0.597 0.597 0.792
I 0.766 0.766 0.297



! BaLi4W, optimized geometry, DFT PBE; values from VASP
! E_form in meV/atom: 723
! SG: F-43m, No. 216
! Theoretical density in g cm⁻³: 4.440
&SYSTEM
  ibrav = 0, nat = 6, ntyp = 3
/
ATOMIC_SPECIES
Ba 137.33 Ba.upf
Li 6.94 Li.upf
W 183.84 W.upf
CELL_PARAMETERS angstrom
0.000 4.026 4.026
4.026 0.000 4.026
4.026 4.026 0.000
ATOMIC_POSITIONS crystal
Ba 0.000 0.000 0.000
Li 0.138 0.621 0.621
Li 0.621 0.138 0.621
Li 0.621 0.621 0.138
Li 0.621 0.621 0.621
W 0.250 0.250 0.250